Entry 1:
MnNiRu2 | GGA-PBE | relaxed

a = 5.3154 Å, b = 5.3154 Å, c = 5.3154 Å
α = 103.47°, β = 103.47°, γ = 122.28°
Positions (direct):
1 Mn 0.0000 0.0000 0.0000
2 Mn 0.7500 0.2500 0.5000
3 Ni 0.2500 0.7500 0.5000
4 Ni 0.5000 0.5000 0.0000
5 Ru 0.0858 0.6250 0.9608
6 Ru 0.3750 0.3358 0.4608
7 Ru 0.6642 0.1250 0.0392
8 Ru 0.8750 0.9142 0.5392

## Properties
Energy of formation: 0.613 eV per atom
Symmetry: I-42d, No. 122
DOS at the Fermi energy: 11.5 states/eV/cell
Density: 9.43 g cm⁻³

=====

Entry 2:
MnNiRu | GGA-PBE | relaxed

a = 4.0891 Å, b = 4.0891 Å, c = 2.5492 Å
α = 90.00°, β = 90.00°, γ = 120.00°
Positions (direct):
1 Mn 0.0000 0.0000 0.0000
2 Ni 0.3333 0.6667 0.0000
3 Ru 0.6667 0.3333 0.5000

## Properties
Energy of formation: 0.099 eV per atom
Symmetry: P-6m2, No. 187
DOS at the Fermi energy: 2.7 states/eV/cell
Density: 9.66 g cm⁻³
Energy above the most stable polymorph in this dataset: 40 meV/atom